Below is an optimized crystal structure of BaReH9, with properties calculated at the GGA-PBEsol level.

The structure in POSCAR format:
```
BaReH9
1.0
-0.4213 2.9452 -3.5695
-4.5401 -0.0606 0.9884
1.0269 3.3011 3.1050
H Re Ba
9 1 1
direct
0.4809 0.8306 0.6802
0.1694 0.5191 0.3198
0.2554 0.5000 0.7446
0.5191 0.3198 0.1694
0.6802 0.4809 0.8306
0.8306 0.6802 0.4809
0.3198 0.1694 0.5191
0.5000 0.7446 0.2554
0.7446 0.2554 0.5000
0.5000 0.5000 0.5000
0.0000 0.0000 0.0000
```

Calculated values
E above lowest polymorph: 0.064 eV per atom
Calculated volume: 9.02 Å³ per atom
Theoretical density: 5.57 g cm⁻³

=====

Below is an optimized crystal structure of MgSiRh2, with properties calculated at the GGA-PBEsol level.

The structure in POSCAR format:
```
MgSiRh2
1.0
4.2016 0.0000 0.0000
2.1008 3.6387 0.0000
2.1008 1.2129 3.4306
Si Rh Mg
1 2 1
direct
0.0000 0.0000 0.0000
0.7500 0.7500 0.7500
0.2500 0.2500 0.2500
0.5000 0.5000 0.5000
```

Calculated values
Calculated volume: 13.11 Å³ per atom
Formation energy from raw total energies: -301 kJ/mol of formula units
Theoretical density: 8.17 g cm⁻³

=====

Below is an optimized crystal structure of CaFe2Se, with properties calculated at the GGA-PBEsol level.

The structure in POSCAR format:
```
CaFe2Se
1.0
4.4959 0.0000 0.0000
2.2479 3.8935 0.0000
2.2479 1.2978 3.6709
Fe Ca Se
2 1 1
direct
0.0000 0.0000 0.0000
0.7500 0.7500 0.7500
0.5000 0.5000 0.5000
0.2500 0.2500 0.2500
```

Calculated values
E above lowest polymorph: 0.332 eV per atom
Calculated volume: 16.06 Å³ per atom
Formation energy from raw total energies: 91 kJ/mol of formula units
Theoretical density: 5.96 g cm⁻³

=====

Below is an optimized crystal structure of Ca3LaTi2Cr2O12, with properties calculated at the GGA-PBEsol level.

The structure in POSCAR format:
```
Ca3LaTi2Cr2O12
1.0
-4.4555 -1.7178 -2.4283
2.9334 -3.4010 -2.9934
-0.8115 -5.3801 5.3077
O Cr La Ca Ti
12 2 1 3 2
direct
0.7158 0.7195 0.5381
0.5589 0.9814 0.2514
0.2190 0.7853 0.4699
0.4288 0.0224 0.7475
0.9296 0.4966 0.2485
0.2867 0.2832 0.4596
0.2141 0.7824 0.0296
0.7184 0.7155 0.9614
0.2825 0.2857 0.0408
0.0711 0.5095 0.7524
0.7870 0.2110 0.5343
0.7901 0.2138 0.9663
0.5001 0.0010 0.5024
0.0001 0.4999 0.9981
0.0048 0.0281 0.2501
0.4926 0.5359 0.2501
0.5075 0.4666 0.7491
0.9928 0.9619 0.7509
0.5004 0.0000 0.9922
0.9996 0.5003 0.5070
```

Calculated values
Calculated volume: 10.99 Å³ per atom
Formation energy from raw total energies: -5637 kJ/mol of formula units
Theoretical density: 4.92 g cm⁻³

=====

Below is an optimized crystal structure of FeCuSb2, with properties calculated at the GGA-PBEsol level.

The structure in POSCAR format:
```
FeCuSb2
1.0
3.3153 0.0000 0.0000
0.0000 4.5778 0.0000
0.0000 0.0000 4.5778
Fe Sb Cu
1 2 1
direct
0.5000 0.0000 0.0000
0.0000 0.0000 0.5000
0.0000 0.5000 0.0000
0.5000 0.5000 0.5000
```

Calculated values
Calculated volume: 17.37 Å³ per atom
Formation energy from raw total energies: 143 kJ/mol of formula units
Theoretical density: 8.67 g cm⁻³

=====

Below is an optimized crystal structure of TlCuSb2, with properties calculated at the GGA-PBEsol level.

The structure in POSCAR format:
```
TlCuSb2
1.0
4.0634 0.0000 0.0000
0.0000 5.2434 0.1564
0.0000 -2.2439 4.5970
Cu Sb Tl
1 2 1
direct
0.5000 0.5000 0.0000
0.0000 0.6866 0.8170
0.0000 0.3134 0.1830
0.5000 0.0000 0.5000
```

Calculated values
E above lowest polymorph: 0.000 eV per atom
Calculated volume: 24.84 Å³ per atom
Formation energy from raw total energies: 25 kJ/mol of formula units
Theoretical density: 8.55 g cm⁻³

=====

Below is an optimized crystal structure of KCeGeSe4, with properties calculated at the GGA-PBEsol level.

The structure in POSCAR format:
```
KCeGeSe4
1.0
6.7882 0.0000 -0.0372
0.0000 6.9729 0.0000
-2.7906 0.0000 8.5147
Se K Ge Ce
8 2 2 2
direct
0.5373 0.5074 0.7304
0.4627 0.0074 0.2696
0.0673 0.6866 0.4198
0.9327 0.1866 0.5802
0.5063 0.5335 0.2851
0.9190 0.2530 0.1510
0.4937 0.0335 0.7149
0.0810 0.7530 0.8490
0.7501 0.7828 0.0611
0.2499 0.2828 0.9389
0.2819 0.7545 0.6797
0.7181 0.2545 0.3203
0.7289 0.7869 0.5537
0.2711 0.2869 0.4463
```

Calculated values
Calculated volume: 28.74 Å³ per atom
Formation energy from raw total energies: -714 kJ/mol of formula units
Theoretical density: 4.69 g cm⁻³

=====

Below is an optimized crystal structure of AlNiTe2, with properties calculated at the GGA-PBEsol level.

The structure in POSCAR format:
```
AlNiTe2
1.0
3.6106 0.0904 0.0000
-1.7106 3.1809 0.0000
0.0000 0.0000 7.4776
Te Ni Al
2 1 1
direct
0.0000 0.0000 0.2250
0.0000 0.0000 0.7750
0.5000 0.5000 0.0000
0.5000 0.5000 0.5000
```

Calculated values
Calculated volume: 21.76 Å³ per atom
Formation energy from raw total energies: 75 kJ/mol of formula units
Theoretical density: 6.50 g cm⁻³